No. 1
Entry from Alexandria via LeMat-Bulk: SrPtRh2 after structural relaxation (PBE).

The value obtained for the distance to the lowest polymorph of the same formula is 330 meV/atom.

It has space group I4/mmm (No. 139), with a = 4.238 Å, b = 4.238 Å, c = 8.099 Å, α = 90.00°, β = 90.00° and γ = 90.00°. The inequivalent atoms are Sr at (0.000, 0.000, 0.000), Pt at (0.000, 0.000, 0.500) and Rh at (0.000, 0.500, 0.250).


No. 2
Entry from Alexandria via LeMat-Bulk: SrPt2Rh after structural relaxation (PBE).

It has space group Fm-3m (No. 225), with a = 6.734 Å, b = 6.734 Å, c = 6.734 Å, α = 90.00°, β = 90.00° and γ = 90.00°. The inequivalent atoms are Sr at (0.000, 0.000, 0.000), Pt at (0.250, 0.250, 0.250) and Rh at (0.000, 0.000, 0.500).


No. 3
Entry from Alexandria via LeMat-Bulk: Sr2PtRh after structural relaxation (PBE).

It has space group R-3m (No. 166, hexagonal axes), with a = 4.0085 Å, b = 4.0085 Å, c = 23.9626 Å, α = 90.00°, β = 90.00° and γ = 120.00°. The inequivalent atoms are Sr at (0.0000, 0.0000, 0.2468), Pt at (0.0000, 0.0000, 0.5000) and Rh at (0.0000, 0.0000, 0.0000).


No. 4
Entry from Alexandria via LeMat-Bulk: Sr2PtRh after structural relaxation (PBE).

It has space group Pmm2 (No. 25), with a = 3.312 Å, b = 5.181 Å, c = 6.037 Å, α = 90.00°, β = 90.00° and γ = 90.00°. The inequivalent atoms are Sr at (0.000, 0.000, 0.000), Sr at (0.500, 0.500, 0.498), Pt at (0.000, 0.000, 0.500) and Rh at (0.500, 0.500, 0.998).


No. 5
Entry from Alexandria via LeMat-Bulk: SrPtRh2 after structural relaxation (PBE).

The value obtained for the distance to the lowest polymorph of the same formula is 256 meV/atom.

It has space group Cm (No. 8), with a = 9.243 Å, b = 2.936 Å, c = 5.706 Å, α = 90.00°, β = 99.15° and γ = 90.00°. The inequivalent atoms are Sr at (0.000, 0.000, 0.000), Pt at (0.239, 0.000, 0.704), Rh at (0.261, 0.500, 0.329) and Rh at (0.498, 0.000, 0.481).


No. 6
Entry from Alexandria via LeMat-Bulk: SrPtRh2 after structural relaxation (PBE).

The value obtained for the distance to the lowest polymorph of the same formula is 711 meV/atom.

It has space group R-3m (No. 166, hexagonal axes), with a = 3.0142 Å, b = 3.0142 Å, c = 27.6756 Å, α = 90.00°, β = 90.00° and γ = 120.00°. The inequivalent atoms are Sr at (0.0000, 0.0000, 0.0000), Pt at (0.0000, 0.0000, 0.5000) and Rh at (0.0000, 0.0000, 0.2418).


| no. | formation energy from the elements (eV/atom) | total magnetization (Bohr magnetons per cell) |
| --- | --- | --- |
| 1 | 0.106 | 0.0 |
| 2 | 0.017 | 3.0 |
| 3 | -0.147 | 0.1 |
| 4 | -0.130 | 0.1 |
| 5 | 0.031 | 0.0 |
| 6 | 0.487 | 0.0 |